# LiTcAs2 | Alexandria | PBE | relaxed
data_LiTcAs2
_space_group_name_H-M_alt 'P 1'
_space_group_IT_number 1
_cell_length_a 4.274
_cell_length_b 4.274
_cell_length_c 5.318
_cell_angle_alpha 101.15
_cell_angle_beta 101.15
_cell_angle_gamma 43.74
loop_
_space_group_symop_operation_xyz
'x,y,z'
loop_
_atom_site_label
_atom_site_type_symbol
_atom_site_fract_x
_atom_site_fract_y
_atom_site_fract_z
Li1 Li 0.000 0.000 0.000
Tc1 Tc 0.500 0.500 0.500
As1 As 0.237 0.237 0.715
As2 As 0.763 0.763 0.285
# E: -5.59 eV per atom
# DOS at the Fermi energy: 0.6868 states/eV/atom
# DFT formation energy: -0.20 eV/atom